#1
## NbVAu2 (PBE)

Data for NbVAu2 after structural relaxation.

CIF file:
```
data_NbVAu2
_cell_length_a 6.557
_cell_length_b 6.557
_cell_length_c 6.557
_cell_angle_alpha 90.00
_cell_angle_beta 90.00
_cell_angle_gamma 90.00
_symmetry_space_group_name_H-M 'F m -3 m'
_symmetry_Int_Tables_number 225
_symmetry_space_group_name_Hall '-F 4 2 3'
loop_
_atom_site_label
_atom_site_type_symbol
_atom_site_fract_x
_atom_site_fract_y
_atom_site_fract_z
Nb1 Nb 0.000 0.000 0.000
V1 V 0.000 0.000 0.500
Au1 Au 0.250 0.250 0.250
```

Calculated density = 12.7 Mg/m³
Spin magnetization = 13.177 μB/cell



#2
## NbVAu2 (PBE)

Data for NbVAu2 after structural relaxation.

CIF file:
```
data_NbVAu2
_cell_length_a 3.988
_cell_length_b 3.988
_cell_length_c 4.231
_cell_angle_alpha 90.00
_cell_angle_beta 90.00
_cell_angle_gamma 90.00
_symmetry_space_group_name_H-M 'P 4/m m m'
_symmetry_Int_Tables_number 123
_symmetry_space_group_name_Hall '-P 4 2'
loop_
_atom_site_label
_atom_site_type_symbol
_atom_site_fract_x
_atom_site_fract_y
_atom_site_fract_z
Nb1 Nb 0.000 0.000 0.000
V1 V 0.500 0.500 0.000
Au1 Au 0.000 0.500 0.500
```

Calculated density = 13.3 Mg/m³
Spin magnetization = 0.968 μB/cell



Result of the stability comparison: #1 is the least stable of them.



#1
## NbV2Au (PBE)

Data for NbV2Au after structural relaxation.

CIF file:
```
data_NbV2Au
_cell_length_a 3.229
_cell_length_b 3.229
_cell_length_c 6.091
_cell_angle_alpha 90.00
_cell_angle_beta 90.00
_cell_angle_gamma 90.00
_symmetry_space_group_name_H-M 'P 4/m m m'
_symmetry_Int_Tables_number 123
_symmetry_space_group_name_Hall '-P 4 2'
loop_
_atom_site_label
_atom_site_type_symbol
_atom_site_fract_x
_atom_site_fract_y
_atom_site_fract_z
Nb1 Nb 0.000 0.000 0.000
V1 V 0.500 0.500 0.231
Au1 Au 0.000 0.000 0.500
```

Calculated density = 10.2 Mg/m³
Spin magnetization = 0.001 μB/cell



#2
## NbV2Au (PBE)

Data for NbV2Au after structural relaxation.

CIF file:
```
data_NbV2Au
_cell_length_a 3.861
_cell_length_b 3.861
_cell_length_c 18.543
_cell_angle_alpha 90.00
_cell_angle_beta 90.00
_cell_angle_gamma 90.00
_symmetry_space_group_name_H-M 'I -4 2 d'
_symmetry_Int_Tables_number 122
_symmetry_space_group_name_Hall 'I -4 2bw'
loop_
_atom_site_label
_atom_site_type_symbol
_atom_site_fract_x
_atom_site_fract_y
_atom_site_fract_z
Nb1 Nb 0.000 0.000 0.000
V1 V 0.234 0.250 0.125
Au1 Au 0.000 0.000 0.500
```

Calculated density = 9.4 Mg/m³
Spin magnetization = 0.000 μB/cell



Result of the stability comparison: #2 is the least stable of them.



#1
## NbV2Au (PBE)

Data for NbV2Au after structural relaxation.

CIF file:
```
data_NbV2Au
_cell_length_a 6.301
_cell_length_b 6.301
_cell_length_c 6.301
_cell_angle_alpha 90.00
_cell_angle_beta 90.00
_cell_angle_gamma 90.00
_symmetry_space_group_name_H-M 'F m -3 m'
_symmetry_Int_Tables_number 225
_symmetry_space_group_name_Hall '-F 4 2 3'
loop_
_atom_site_label
_atom_site_type_symbol
_atom_site_fract_x
_atom_site_fract_y
_atom_site_fract_z
Nb1 Nb 0.000 0.000 0.000
V1 V 0.250 0.250 0.250
Au1 Au 0.000 0.000 0.500
```

Calculated density = 10.4 Mg/m³
Spin magnetization = 0.001 μB/cell



#2
## NbV2Au (PBE)

Data for NbV2Au after structural relaxation.

CIF file:
```
data_NbV2Au
_cell_length_a 4.274
_cell_length_b 4.274
_cell_length_c 3.423
_cell_angle_alpha 90.00
_cell_angle_beta 90.00
_cell_angle_gamma 90.00
_symmetry_space_group_name_H-M 'P 4/m m m'
_symmetry_Int_Tables_number 123
_symmetry_space_group_name_Hall '-P 4 2'
loop_
_atom_site_label
_atom_site_type_symbol
_atom_site_fract_x
_atom_site_fract_y
_atom_site_fract_z
Nb1 Nb 0.000 0.000 0.000
V1 V 0.000 0.500 0.500
Au1 Au 0.500 0.500 0.000
```

Calculated density = 10.4 Mg/m³
Spin magnetization = 0.000 μB/cell



Result of the stability comparison: #1 is the least stable of them.



#1
## NbW2Au (PBE)

Data for NbW2Au after structural relaxation.

CIF file:
```
data_NbW2Au
_cell_length_a 7.369
_cell_length_b 7.369
_cell_length_c 5.476
_cell_angle_alpha 90.00
_cell_angle_beta 90.00
_cell_angle_gamma 90.00
_symmetry_space_group_name_H-M 'I -4 2 d'
_symmetry_Int_Tables_number 122
_symmetry_space_group_name_Hall 'I -4 2bw'
loop_
_atom_site_label
_atom_site_type_symbol
_atom_site_fract_x
_atom_site_fract_y
_atom_site_fract_z
Nb1 Nb 0.000 0.000 0.000
W1 W 0.249 0.250 0.125
Au1 Au 0.000 0.000 0.500
```

Calculated density = 14.7 Mg/m³
Spin magnetization = 0.000 μB/cell



#2
## NbW2Au (PBE)

Data for NbW2Au after structural relaxation.

CIF file:
```
data_NbW2Au
_cell_length_a 6.482
_cell_length_b 6.482
_cell_length_c 6.482
_cell_angle_alpha 90.00
_cell_angle_beta 90.00
_cell_angle_gamma 90.00
_symmetry_space_group_name_H-M 'F m -3 m'
_symmetry_Int_Tables_number 225
_symmetry_space_group_name_Hall '-F 4 2 3'
loop_
_atom_site_label
_atom_site_type_symbol
_atom_site_fract_x
_atom_site_fract_y
_atom_site_fract_z
Nb1 Nb 0.000 0.000 0.000
W1 W 0.250 0.250 0.250
Au1 Au 0.000 0.000 0.500
```

Calculated density = 16.0 Mg/m³
Spin magnetization = 0.000 μB/cell



Result of the stability comparison: #1 is the least stable of them.



#1
## Nb2WAu (PBE)

Data for Nb2WAu after structural relaxation.

CIF file:
```
data_Nb2WAu
_cell_length_a 6.561
_cell_length_b 6.561
_cell_length_c 6.561
_cell_angle_alpha 90.00
_cell_angle_beta 90.00
_cell_angle_gamma 90.00
_symmetry_space_group_name_H-M 'F m -3 m'
_symmetry_Int_Tables_number 225
_symmetry_space_group_name_Hall '-F 4 2 3'
loop_
_atom_site_label
_atom_site_type_symbol
_atom_site_fract_x
_atom_site_fract_y
_atom_site_fract_z
Nb1 Nb 0.250 0.250 0.250
W1 W 0.000 0.000 0.000
Au1 Au 0.000 0.000 0.500
```

Calculated density = 13.3 Mg/m³
Spin magnetization = 0.000 μB/cell



#2
## Nb2WAu (PBE)

Data for Nb2WAu after structural relaxation.

CIF file:
```
data_Nb2WAu
_cell_length_a 7.374
_cell_length_b 7.374
_cell_length_c 5.582
_cell_angle_alpha 90.00
_cell_angle_beta 90.00
_cell_angle_gamma 90.00
_symmetry_space_group_name_H-M 'I -4 2 d'
_symmetry_Int_Tables_number 122
_symmetry_space_group_name_Hall 'I -4 2bw'
loop_
_atom_site_label
_atom_site_type_symbol
_atom_site_fract_x
_atom_site_fract_y
_atom_site_fract_z
Nb1 Nb 0.239 0.250 0.125
W1 W 0.000 0.000 0.000
Au1 Au 0.000 0.000 0.500
```

Calculated density = 12.4 Mg/m³
Spin magnetization = 0.000 μB/cell



#3
## Nb2WAu (PBE)

Data for Nb2WAu after structural relaxation.

CIF file:
```
data_Nb2WAu
_cell_length_a 3.331
_cell_length_b 3.331
_cell_length_c 6.368
_cell_angle_alpha 90.00
_cell_angle_beta 90.00
_cell_angle_gamma 90.00
_symmetry_space_group_name_H-M 'P 4/m m m'
_symmetry_Int_Tables_number 123
_symmetry_space_group_name_Hall '-P 4 2'
loop_
_atom_site_label
_atom_site_type_symbol
_atom_site_fract_x
_atom_site_fract_y
_atom_site_fract_z
Nb1 Nb 0.000 0.000 0.234
W1 W 0.500 0.500 0.000
Au1 Au 0.500 0.500 0.500
```

Calculated density = 13.3 Mg/m³
Spin magnetization = 0.000 μB/cell



Result of the stability comparison: #2 is the least stable of them.



#1
## Nb3WAu (PBE)

Data for Nb3WAu after structural relaxation.

CIF file:
```
data_Nb3WAu
_cell_length_a 4.873
_cell_length_b 4.873
_cell_length_c 4.873
_cell_angle_alpha 90.00
_cell_angle_beta 90.00
_cell_angle_gamma 90.00
_symmetry_space_group_name_H-M 'P m -3 m'
_symmetry_Int_Tables_number 221
_symmetry_space_group_name_Hall '-P 4 2 3'
loop_
_atom_site_label
_atom_site_type_symbol
_atom_site_fract_x
_atom_site_fract_y
_atom_site_fract_z
Nb1 Nb 0.000 0.000 0.500
W1 W 0.500 0.500 0.500
Au1 Au 0.000 0.000 0.000
```

Calculated density = 9.5 Mg/m³
Spin magnetization = 0.000 μB/cell



#2
## Nb3WAu (PBE)

Data for Nb3WAu after structural relaxation.

CIF file:
```
data_Nb3WAu
_cell_length_a 4.847
_cell_length_b 4.847
_cell_length_c 4.847
_cell_angle_alpha 90.00
_cell_angle_beta 90.00
_cell_angle_gamma 90.00
_symmetry_space_group_name_H-M 'P m -3 m'
_symmetry_Int_Tables_number 221
_symmetry_space_group_name_Hall '-P 4 2 3'
loop_
_atom_site_label
_atom_site_type_symbol
_atom_site_fract_x
_atom_site_fract_y
_atom_site_fract_z
Nb1 Nb 0.000 0.000 0.500
W1 W 0.000 0.000 0.000
Au1 Au 0.500 0.500 0.500
```

Calculated density = 9.6 Mg/m³
Spin magnetization = 0.000 μB/cell



Result of the stability comparison: #1 is the least stable of them.